CaUFeO5 after structural relaxation. Source: Alexandria via LeMat-Bulk, functional GGA+U.

## Properties
- E_tot: -130.03 eV per cell
- SG: No. 15

abc: 6.0894 6.0894 7.7156
angles: 106.28 106.28 95.37
Positions (direct):
1 Ca 0.0960 0.9040 0.7500
2 Ca 0.9040 0.0960 0.2500
3 U 0.0000 0.5000 0.0000
4 U 0.5000 0.0000 0.5000
5 Fe 0.4655 0.5345 0.7500
6 Fe 0.5345 0.4655 0.2500
7 O 0.1510 0.2236 0.0143
8 O 0.1804 0.5759 0.8286
9 O 0.2236 0.1510 0.5143
10 O 0.3125 0.6875 0.2500
11 O 0.4241 0.8196 0.6714
12 O 0.5759 0.1804 0.3286
13 O 0.6875 0.3125 0.7500
14 O 0.7764 0.8490 0.4857
15 O 0.8196 0.4241 0.1714
16 O 0.8490 0.7764 0.9857